A plane-wave DFT calculation with PBE with a Hubbard U was carried out for a relaxed AlFeF2 crystal.

Lattice parameters (Å, degrees): 7.077 7.077 7.077 23.93 23.93 23.93
Site moments in Bohr magnetons follow the coordinates.
Positions (direct):
F: 0.902 0.902 0.902  0.03
F: 0.098 0.098 0.098  0.03
Fe: 0.500 0.500 0.500  3.22
Al: 0.000 0.000 0.000  0.01

Excess energy over the best structure of this formula in the dataset (meV per atom): 0